A geometry-optimized Co2SbO3 structure, computed with PBE+U.

Space-group type: C2/c
Energy: -0.428 Ry per atom
Crystal system: monoclinic

Lattice parameters (Å, degrees): 6.0192 6.0192 6.2980 102.77 102.77 63.53
Element x y z (fractional)
Co 0.0898 0.2921 0.3302
Co 0.2921 0.0898 0.8302
Co 0.7079 0.9102 0.1698
Co 0.9102 0.7079 0.6698
Sb 0.4981 0.5019 0.7500
Sb 0.5019 0.4981 0.2500
O 0.1780 0.8220 0.7500
O 0.2057 0.3502 0.6525
O 0.3502 0.2057 0.1525
O 0.6498 0.7943 0.8475
O 0.7943 0.6498 0.3475
O 0.8220 0.1780 0.2500